First-principles (PBE-GGA) data for a relaxed MnTe3Au2 crystal, as listed in the Alexandria database.

Geometry as CIF:
```
data_MnTe3Au2
_chemical_formula_sum 'Mn2 Te6 Au4'
_space_group_name_H-M_alt 'P 1'
_space_group_IT_number 1
_space_group_name_Hall 'P 1'
_cell_length_a 11.812
_cell_length_b 11.812
_cell_length_c 7.693
_cell_angle_alpha 104.91
_cell_angle_beta 104.91
_cell_angle_gamma 18.76
loop_
_atom_site_label
_atom_site_type_symbol
_atom_site_fract_x
_atom_site_fract_y
_atom_site_fract_z
_atom_site_occupancy
Mn1 Mn 0.134 0.134 0.123 1
Mn2 Mn 0.866 0.866 0.877 1
Te1 Te 0.084 0.084 0.429 1
Te2 Te 0.279 0.279 0.820 1
Te3 Te 0.414 0.414 0.125 1
Te4 Te 0.586 0.586 0.875 1
Te5 Te 0.721 0.721 0.180 1
Te6 Te 0.916 0.916 0.571 1
Au1 Au 0.202 0.202 0.488 1
Au2 Au 0.461 0.461 0.823 1
Au3 Au 0.539 0.539 0.177 1
Au4 Au 0.798 0.798 0.512 1
```

Computed properties:
- Space-group type: C2/m (12)
- Uncorrected formation energy: -0.072 eV per atom
- V: 27.8 Å³ per atom
- M_tot: 3.5 μB per formula unit
- Density of states at the Fermi level: 1.96 states/eV/f.u.
- Calculated total energy: -51.2 eV/cell